1.
The following is a DFT calculation (PBE) of a geometry-optimized DyHoGa2 structure. Values from VASP.

The value obtained for the calculated total energy is -4.386 eV per atom. The value obtained for the density is 8.63 Mg/m³.

```
&SYSTEM
  ibrav = 0, nat = 8, ntyp = 3
/
ATOMIC_SPECIES
Dy 162.50 Dy.upf
Ho 164.93 Ho.upf
Ga 69.72 Ga.upf
CELL_PARAMETERS angstrom
3.5575 -5.0343 0.0000
3.5575 5.0343 0.0000
0.0000 0.0000 5.0174
ATOMIC_POSITIONS angstrom
Dy 3.5575 1.3243 3.7631
Dy 3.5575 -1.3243 1.2544
Ho 3.5575 3.7870 1.2544
Ho 3.5575 -3.7870 3.7631
Ga 5.3047 1.2190 1.2544
Ga 5.3047 -1.2190 3.7631
Ga 1.8102 1.2190 1.2544
Ga 1.8102 -1.2190 3.7631
```

---

2.
The following is a DFT calculation (PBE) of a geometry-optimized Dy2Ho3Ga3 structure. Values from VASP.

The value obtained for the calculated total energy is -4.246 eV per atom. The value obtained for the density is 8.42 Mg/m³.

```
&SYSTEM
  ibrav = 0, nat = 8, ntyp = 3
/
ATOMIC_SPECIES
Ga 69.72 Ga.upf
Dy 162.50 Dy.upf
Ho 164.93 Ho.upf
CELL_PARAMETERS angstrom
6.8945 0.0000 0.0000
-3.4472 5.9708 0.0000
0.0000 0.0000 4.9267
ATOMIC_POSITIONS angstrom
Ga 1.9034 1.0989 2.4633
Ga 4.9911 1.0989 2.4633
Ga 3.4472 3.7730 2.4633
Dy 0.0000 0.0000 0.0000
Dy 0.0000 3.9805 2.4633
Ho 1.8285 2.9248 0.0000
Ho 3.4472 0.1211 0.0000
Ho 5.0660 2.9248 0.0000
```